Cr2CoGeO6 | PBE with a Hubbard U | relaxed Values from VASP.

Geometry as Quantum ESPRESSO input:
```
&SYSTEM
  ibrav = 0, nat = 10, ntyp = 4
/
ATOMIC_SPECIES
Cr 52.00 Cr.upf
Co 58.93 Co.upf
Ge 72.64 Ge.upf
O 16.00 O.upf
CELL_PARAMETERS angstrom
2.539 1.466 4.591
-2.539 1.466 4.591
0.000 -2.932 4.591
ATOMIC_POSITIONS crystal
Cr 0.000 0.000 0.000
Cr 0.497 0.497 0.497
Co 0.208 0.208 0.208
Ge 0.697 0.697 0.697
O 0.079 0.416 0.783
O 0.303 0.885 0.611
O 0.416 0.783 0.079
O 0.611 0.303 0.885
O 0.783 0.079 0.416
O 0.885 0.611 0.303
```

Results
**V**: 103 Å³/f.u.
**Spin magnetization**: 8.93 μB/f.u.
**Space-group type**: R3, No. 146
**DFT total energy**: -7.127 eV per atom